Record 1
{
  "formula": "LiNpZnF6",
  "functional": "PBE-GGA",
  "state": "relaxed",
  "magmom_total_mub_per_fu": 4.00,
  "e_tot_ev_per_atom": -5.880,
  "spacegroup": "P-31c, No. 163",
  "dos_ef_per_ev_cell": 9.6,
  "raw_formation_energy_ev_per_atom": -2.841,
  "cell": [[-1.129, 4.856, -2.680], [-3.084, -1.538, 4.490], [5.666, 4.272, 5.355]],
  "species": ["F", "F", "F", "F", "F", "F", "F", "F", "F", "F", "F", "F", "Zn", "Zn", "Np", "Np", "Li", "Li"],
  "fractional_positions": [[0.685, 0.652, 0.125], [0.652, 0.685, 0.625], [0.348, 0.315, 0.375], [0.967, 0.652, 0.375], [0.033, 0.685, 0.875], [0.315, 0.348, 0.875], [0.685, 0.033, 0.375], [0.033, 0.348, 0.625], [0.348, 0.033, 0.125], [0.652, 0.967, 0.875], [0.967, 0.315, 0.125], [0.315, 0.967, 0.625], [0.667, 0.333, 0.250], [0.333, 0.667, 0.750], [0.333, 0.667, 0.250], [0.667, 0.333, 0.750], [0.000, 0.000, 0.500], [0.000, 0.000, 0.000]]
}

Record 2
{
  "formula": "CaTmMg2Cd2",
  "functional": "PBE-GGA",
  "state": "relaxed",
  "magmom_total_mub_per_fu": 0.00,
  "e_tot_ev_per_atom": -2.123,
  "spacegroup": "P-3m1, No. 164",
  "dos_ef_per_ev_cell": 6.8,
  "cell": [[5.040, 0.000, 0.000], [-2.520, 4.365, 0.000], [0.000, 0.000, 7.056]],
  "species": ["Ca", "Cd", "Cd", "Tm", "Mg", "Mg"],
  "fractional_positions": [[0.000, 0.000, 0.000], [0.667, 0.333, 0.723], [0.333, 0.667, 0.277], [0.000, 0.000, 0.500], [0.667, 0.333, 0.271], [0.333, 0.667, 0.729]]
}

Record 3
{
  "formula": "CdPd3",
  "functional": "PBE-GGA",
  "state": "relaxed",
  "magmom_total_mub_per_fu": 0.00,
  "e_tot_ev_per_atom": -4.230,
  "spacegroup": "I-4, No. 82",
  "dos_ef_per_ev_cell": 13.1,
  "cell": [[5.488, 0.000, 0.000], [2.744, 7.094, 0.000], [2.744, 0.000, 7.094]],
  "species": ["Pd", "Pd", "Pd", "Pd", "Pd", "Pd", "Pd", "Pd", "Pd", "Pd", "Pd", "Pd", "Cd", "Cd", "Cd", "Cd"],
  "fractional_positions": [[0.849, 0.653, 0.654], [0.512, 0.559, 0.000], [0.929, 0.000, 0.559], [0.584, 0.187, 0.001], [0.498, 0.346, 0.653], [0.229, 0.999, 0.187], [0.156, 0.347, 0.346], [0.415, 0.001, 0.813], [0.488, 0.000, 0.441], [0.497, 0.654, 0.347], [0.772, 0.813, 0.999], [0.071, 0.441, 0.000], [0.727, 0.275, 0.275], [0.277, 0.725, 0.725], [0.998, 0.275, 0.725], [0.998, 0.725, 0.275]]
}

Record 4
{
  "formula": "IrOsRh",
  "functional": "PBE-GGA",
  "state": "relaxed",
  "magmom_total_mub_per_fu": 0.00,
  "e_tot_ev_per_atom": -9.149,
  "de_polymorph_ev_per_atom": 0.000,
  "spacegroup": "I4mm, No. 107",
  "dos_ef_per_ev_cell": 2.6,
  "cell": [[-3.767, -2.624, 4.050], [-1.327, -3.571, 4.793], [0.043, 1.747, 2.086]],
  "species": ["Ir", "Rh", "Os"],
  "fractional_positions": [[0.996, 0.996, 0.004], [0.670, 0.670, 0.330], [0.335, 0.335, 0.665]]
}

Record 5
{
  "formula": "GaAgPd2O",
  "functional": "PBE-GGA",
  "state": "relaxed",
  "magmom_total_mub_per_fu": 0.00,
  "e_tot_ev_per_atom": -3.427,
  "spacegroup": "P4/mmm, No. 123",
  "dos_ef_per_ev_cell": 0.8,
  "raw_formation_energy_ev_per_atom": 0.817,
  "cell": [[-2.435, -0.872, -3.820], [-1.231, -4.339, 1.775], [-3.738, 1.862, 1.959]],
  "species": ["Ag", "O", "Ga", "Pd", "Pd"],
  "fractional_positions": [[0.000, 0.500, 0.000], [0.500, 0.500, 0.500], [0.000, 0.000, 0.000], [0.500, 0.000, 0.000], [0.000, 0.000, 0.500]]
}

Record 6
{
  "formula": "Dy4Cu2S",
  "functional": "PBE-GGA",
  "state": "relaxed",
  "magmom_total_mub_per_fu": 0.00,
  "e_tot_ev_per_atom": -5.073,
  "spacegroup": "C2/m, No. 12",
  "dos_ef_per_ev_cell": 4.9,
  "raw_formation_energy_ev_per_atom": -0.683,
  "cell": [[-0.425, 3.608, -1.249], [-6.488, 0.868, -1.189], [-2.677, 3.660, 5.578]],
  "species": ["Cu", "Cu", "Dy", "Dy", "Dy", "Dy", "S"],
  "fractional_positions": [[0.386, 0.555, 0.673], [0.614, 0.445, 0.327], [0.093, 0.209, 0.606], [0.907, 0.791, 0.394], [0.672, 0.736, 0.919], [0.328, 0.264, 0.081], [0.000, 0.000, 0.000]]
}

Record 7
{
  "formula": "Si2BBr",
  "functional": "PBE-GGA",
  "state": "relaxed",
  "magmom_total_mub_per_fu": 0.00,
  "e_tot_ev_per_atom": -3.390,
  "de_polymorph_ev_per_atom": 0.914,
  "spacegroup": "Fm-3m, No. 225",
  "dos_ef_per_ev_cell": 2.0,
  "raw_formation_energy_ev_per_atom": 1.409,
  "cell": [[0.000, 3.158, 3.158], [3.158, 0.000, 3.158], [3.158, 3.158, 0.000]],
  "species": ["Si", "Si", "Br", "B"],
  "fractional_positions": [[0.750, 0.750, 0.750], [0.250, 0.250, 0.250], [0.500, 0.500, 0.500], [0.000, 0.000, 0.000]]
}

Record 8
{
  "formula": "Ta4C2S5",
  "functional": "PBE-GGA",
  "state": "relaxed",
  "magmom_total_mub_per_fu": 0.00,
  "e_tot_ev_per_atom": -8.390,
  "spacegroup": "Immm, No. 71",
  "dos_ef_per_ev_cell": 3.3,
  "raw_formation_energy_ev_per_atom": -0.526,
  "cell": [[3.305, 0.000, 0.000], [0.000, 6.844, 0.000], [-1.653, -3.422, 7.504]],
  "species": ["S", "S", "S", "S", "S", "Ta", "Ta", "Ta", "Ta", "C", "C"],
  "fractional_positions": [[0.168, 0.398, 0.336], [0.500, 0.000, 0.000], [0.168, 0.938, 0.336], [0.832, 0.602, 0.664], [0.832, 0.062, 0.664], [0.306, 0.306, 0.612], [0.000, 0.295, 0.000], [0.000, 0.705, 0.000], [0.694, 0.694, 0.388], [0.549, 0.549, 0.097], [0.451, 0.451, 0.903]]
}

Record 9
{
  "formula": "SrGeNO2",
  "functional": "PBE-GGA",
  "state": "relaxed",
  "magmom_total_mub_per_fu": 1.23,
  "e_tot_ev_per_atom": -5.228,
  "spacegroup": "P4/mmm, No. 123",
  "dos_ef_per_ev_cell": 1.6,
  "raw_formation_energy_ev_per_atom": -0.320,
  "cell": [[3.677, 0.000, 0.000], [0.000, 7.641, 0.000], [0.000, 0.000, 3.677]],
  "species": ["Ge", "O", "O", "Sr", "N"],
  "fractional_positions": [[0.000, 0.000, 0.000], [0.000, 0.000, 0.500], [0.500, 0.000, 0.000], [0.000, 0.500, 0.000], [0.500, 0.500, 0.500]]
}

Record 10
{
  "formula": "Ta2ZnCl",
  "functional": "PBE-GGA",
  "state": "relaxed",
  "magmom_total_mub_per_fu": 0.00,
  "e_tot_ev_per_atom": -6.371,
  "de_polymorph_ev_per_atom": 0.397,
  "spacegroup": "Imm2, No. 44",
  "dos_ef_per_ev_cell": 3.5,
  "raw_formation_energy_ev_per_atom": 0.336,
  "cell": [[5.647, -0.007, -0.004], [2.937, 4.823, 0.004], [-3.697, -3.468, 2.487]],
  "species": ["Ta", "Ta", "Cl", "Zn"],
  "fractional_positions": [[0.749, 0.249, 0.500], [0.025, 0.025, 0.000], [0.228, 0.728, 0.500], [0.498, 0.498, 0.000]]
}

Record 11
{
  "formula": "LiMnSb2N",
  "functional": "PBE-GGA",
  "state": "relaxed",
  "magmom_total_mub_per_fu": 1.46,
  "e_tot_ev_per_atom": -5.465,
  "spacegroup": "P4/mmm, No. 123",
  "dos_ef_per_ev_cell": 2.6,
  "raw_formation_energy_ev_per_atom": 0.066,
  "cell": [[5.380, 0.000, 0.000], [0.000, 3.428, 0.000], [0.000, 0.000, 5.380]],
  "species": ["N", "Sb", "Sb", "Li", "Mn"],
  "fractional_positions": [[0.000, 0.500, 0.000], [0.000, 0.000, 0.500], [0.500, 0.000, 0.000], [0.500, 0.500, 0.500], [0.000, 0.000, 0.000]]
}

Record 12
{
  "formula": "TiHgN2",
  "functional": "PBE-GGA",
  "state": "relaxed",
  "magmom_total_mub_per_fu": 0.00,
  "e_tot_ev_per_atom": -5.167,
  "spacegroup": "R-3m, No. 166",
  "dos_ef_per_ev_cell": 3.9,
  "raw_formation_energy_ev_per_atom": 1.045,
  "cell": [[0.085, 6.444, 0.950], [3.388, 5.528, 0.626], [1.440, 5.967, -2.179]],
  "species": ["Hg", "N", "N", "Ti"],
  "fractional_positions": [[0.500, 0.500, 0.500], [0.101, 0.101, 0.101], [0.899, 0.899, 0.899], [0.000, 0.000, 0.000]]
}

Record 13
{
  "formula": "K2Na7Hg",
  "functional": "PBE-GGA",
  "state": "relaxed",
  "magmom_total_mub_per_fu": 0.00,
  "e_tot_ev_per_atom": -1.141,
  "de_polymorph_ev_per_atom": 0.028,
  "spacegroup": "Fm-3m, No. 225",
  "dos_ef_per_ev_cell": 5.7,
  "cell": [[8.702, 0.000, 0.000], [4.351, 7.536, 0.000], [4.351, 2.512, 7.105]],
  "species": ["Na", "Na", "Na", "Na", "Na", "Na", "Na", "K", "K", "Hg"],
  "fractional_positions": [[0.240, 0.760, 0.240], [0.760, 0.760, 0.240], [0.240, 0.240, 0.760], [0.760, 0.240, 0.760], [0.240, 0.760, 0.760], [0.760, 0.240, 0.240], [0.500, 0.500, 0.500], [0.250, 0.250, 0.250], [0.750, 0.750, 0.750], [0.000, 0.000, 0.000]]
}

Record 14
{
  "formula": "Hf5Rh3",
  "functional": "PBE-GGA",
  "state": "relaxed",
  "magmom_total_mub_per_fu": 0.00,
  "e_tot_ev_per_atom": -9.680,
  "spacegroup": "P4/mmm, No. 123",
  "dos_ef_per_ev_cell": 4.9,
  "cell": [[3.283, 0.000, 0.000], [0.000, 3.283, 0.000], [0.000, 0.000, 13.771]],
  "species": ["Rh", "Rh", "Rh", "Hf", "Hf", "Hf", "Hf", "Hf"],
  "fractional_positions": [[0.500, 0.500, 0.887], [0.000, 0.000, 0.500], [0.500, 0.500, 0.113], [0.500, 0.500, 0.381], [0.000, 0.000, 0.236], [0.500, 0.500, 0.619], [0.000, 0.000, 0.764], [0.000, 0.000, 0.000]]
}

Record 15
{
  "formula": "LaTlF2",
  "functional": "PBE-GGA",
  "state": "relaxed",
  "magmom_total_mub_per_fu": 0.00,
  "e_tot_ev_per_atom": -5.190,
  "de_polymorph_ev_per_atom": 0.000,
  "spacegroup": "I-42d, No. 122",
  "dos_ef_per_ev_cell": 3.2,
  "raw_formation_energy_ev_per_atom": -2.431,
  "cell": [[5.766, 0.000, 0.000], [0.000, 5.766, 0.000], [2.883, 2.883, 6.917]],
  "species": ["F", "F", "F", "F", "Tl", "Tl", "La", "La"],
  "fractional_positions": [[0.875, 0.686, 0.750], [0.314, 0.625, 0.250], [0.436, 0.125, 0.250], [0.375, 0.564, 0.750], [0.750, 0.250, 0.500], [0.000, 0.000, 0.000], [0.500, 0.500, 0.000], [0.250, 0.750, 0.500]]
}

Record 16
{
  "formula": "CuTe2OsAu",
  "functional": "PBE-GGA",
  "state": "relaxed",
  "magmom_total_mub_per_fu": 0.00,
  "e_tot_ev_per_atom": -3.629,
  "spacegroup": "P4/mmm, No. 123",
  "dos_ef_per_ev_cell": 4.0,
  "raw_formation_energy_ev_per_atom": 1.348,
  "cell": [[-0.383, 4.104, -2.666], [-4.569, -0.850, -0.652], [-1.053, 2.543, 4.065]],
  "species": ["Te", "Te", "Cu", "Au", "Os"],
  "fractional_positions": [[0.000, 0.000, 0.500], [0.500, 0.000, 0.000], [0.000, 0.000, 0.000], [0.000, 0.500, 0.000], [0.500, 0.500, 0.500]]
}

Record 17
{
  "formula": "Li2BeCr",
  "functional": "PBE-GGA",
  "state": "relaxed",
  "magmom_total_mub_per_fu": 3.06,
  "e_tot_ev_per_atom": -3.871,
  "spacegroup": "I4/mmm, No. 139",
  "dos_ef_per_ev_cell": 2.0,
  "cell": [[-4.651, 1.264, 1.056], [-1.770, -0.540, 4.574], [3.951, 1.901, -2.261]],
  "species": ["Li", "Li", "Be", "Cr"],
  "fractional_positions": [[0.000, 0.000, 0.000], [0.500, 0.500, 0.000], [0.750, 0.250, 0.500], [0.250, 0.750, 0.500]]
}

Record 18
{
  "formula": "Zr2Cd3Au3",
  "functional": "PBE-GGA",
  "state": "relaxed",
  "magmom_total_mub_per_fu": 0.00,
  "e_tot_ev_per_atom": -3.909,
  "spacegroup": "P-62m, No. 189",
  "dos_ef_per_ev_cell": 5.2,
  "cell": [[-2.102, -1.187, 1.634], [0.723, -6.982, -4.142], [4.488, 1.255, 6.687]],
  "species": ["Au", "Au", "Au", "Cd", "Cd", "Cd", "Zr", "Zr"],
  "fractional_positions": [[0.500, 0.000, 0.363], [0.500, 0.637, 0.637], [0.500, 0.363, 0.000], [0.000, 0.239, 0.239], [0.000, 0.761, 0.000], [0.000, 0.000, 0.761], [0.000, 0.667, 0.333], [0.000, 0.333, 0.667]]
}

Record 19
{
  "formula": "Pu2GaHg",
  "functional": "PBE-GGA",
  "state": "relaxed",
  "magmom_total_mub_per_fu": 0.03,
  "e_tot_ev_per_atom": -7.616,
  "spacegroup": "P4/mmm, No. 123",
  "dos_ef_per_ev_cell": 7.2,
  "cell": [[-2.215, -2.054, 4.389], [1.720, -3.182, -0.621], [2.861, 1.159, 1.986]],
  "species": ["Ga", "Pu", "Pu", "Hg"],
  "fractional_positions": [[0.500, 0.000, 0.000], [0.000, 0.500, 0.000], [0.000, 0.000, 0.500], [0.500, 0.500, 0.500]]
}

Record 20
{
  "formula": "Ac12Co5Pd3",
  "functional": "PBE-GGA",
  "state": "relaxed",
  "magmom_total_mub_per_fu": 0.00,
  "e_tot_ev_per_atom": -5.080,
  "spacegroup": "Ia-3d, No. 230",
  "dos_ef_per_ev_cell": 78.4,
  "cell": [[-9.146, -7.917, 9.029], [-0.635, -5.630, -13.991], [14.162, -0.897, 5.146]],
  "species": ["Ac", "Ac", "Ac", "Ac", "Ac", "Ac", "Ac", "Ac", "Ac", "Ac", "Ac", "Ac", "Ac", "Ac", "Ac", "Ac", "Ac", "Ac", "Ac", "Ac", "Ac", "Ac", "Ac", "Ac", "Ac", "Ac", "Ac", "Ac", "Ac", "Ac", "Ac", "Ac", "Ac", "Ac", "Ac", "Ac", "Ac", "Ac", "Ac", "Ac", "Ac", "Ac", "Ac", "Ac", "Ac", "Ac", "Ac", "Ac", "Co", "Co", "Co", "Co", "Co", "Co", "Co", "Co", "Co", "Co", "Co", "Co", "Co", "Co", "Co", "Co", "Co", "Co", "Co", "Co", "Pd", "Pd", "Pd", "Pd", "Pd", "Pd", "Pd", "Pd", "Pd", "Pd", "Pd", "Pd"],
  "fractional_positions": [[0.124, 0.711, 0.532], [0.789, 0.468, 0.376], [0.413, 0.124, 0.592], [0.087, 0.908, 0.376], [0.679, 0.468, 0.592], [0.711, 0.124, 0.032], [0.532, 0.321, 0.908], [0.321, 0.789, 0.413], [0.179, 0.092, 0.968], [0.179, 0.087, 0.711], [0.321, 0.532, 0.408], [0.913, 0.821, 0.789], [0.468, 0.789, 0.876], [0.408, 0.032, 0.321], [0.624, 0.032, 0.211], [0.211, 0.532, 0.624], [0.592, 0.624, 0.413], [0.032, 0.624, 0.711], [0.532, 0.211, 0.124], [0.908, 0.087, 0.876], [0.289, 0.876, 0.968], [0.876, 0.587, 0.908], [0.968, 0.592, 0.179], [0.592, 0.968, 0.679], [0.968, 0.376, 0.289], [0.908, 0.821, 0.532], [0.821, 0.908, 0.032], [0.408, 0.376, 0.587], [0.289, 0.413, 0.821], [0.376, 0.408, 0.087], [0.913, 0.092, 0.624], [0.587, 0.876, 0.408], [0.821, 0.913, 0.289], [0.092, 0.913, 0.124], [0.587, 0.711, 0.679], [0.211, 0.679, 0.087], [0.789, 0.321, 0.913], [0.679, 0.211, 0.587], [0.092, 0.179, 0.468], [0.087, 0.179, 0.211], [0.468, 0.679, 0.092], [0.876, 0.289, 0.468], [0.376, 0.968, 0.789], [0.032, 0.408, 0.821], [0.711, 0.587, 0.179], [0.413, 0.289, 0.321], [0.124, 0.413, 0.092], [0.624, 0.592, 0.913], [0.875, 0.625, 0.750], [0.750, 0.625, 0.375], [0.000, 0.000, 0.000], [0.125, 0.750, 0.375], [0.375, 0.125, 0.750], [0.250, 0.875, 0.125], [0.500, 0.500, 0.500], [0.500, 0.500, 0.000], [0.375, 0.250, 0.125], [0.000, 0.000, 0.500], [0.625, 0.750, 0.875], [0.250, 0.375, 0.625], [0.000, 0.500, 0.000], [0.500, 0.000, 0.000], [0.875, 0.250, 0.625], [0.000, 0.500, 0.500], [0.750, 0.125, 0.875], [0.500, 0.000, 0.500], [0.125, 0.375, 0.250], [0.625, 0.875, 0.250], [0.375, 0.750, 0.625], [0.750, 0.875, 0.625], [0.250, 0.625, 0.875], [0.375, 0.625, 0.250], [0.125, 0.875, 0.750], [0.625, 0.375, 0.750], [0.625, 0.250, 0.375], [0.875, 0.750, 0.125], [0.250, 0.125, 0.375], [0.125, 0.250, 0.875], [0.750, 0.375, 0.125], [0.875, 0.125, 0.250]]
}

Record 21
{
  "formula": "AcAlGa3",
  "functional": "PBE-GGA",
  "state": "relaxed",
  "magmom_total_mub_per_fu": 0.00,
  "e_tot_ev_per_atom": -3.833,
  "de_polymorph_ev_per_atom": 0.000,
  "spacegroup": "I4mm, No. 107",
  "dos_ef_per_ev_cell": 2.2,
  "cell": [[4.303, 0.000, -1.734], [-0.699, 4.246, -1.734], [-0.044, -0.052, 6.097]],
  "species": ["Ac", "Al", "Ga", "Ga", "Ga"],
  "fractional_positions": [[0.015, 0.015, 0.030], [0.645, 0.645, 0.290], [0.396, 0.396, 0.792], [0.267, 0.767, 0.534], [0.767, 0.267, 0.534]]
}

Record 22
{
  "formula": "Co2TcGeTe",
  "functional": "PBE-GGA",
  "state": "relaxed",
  "magmom_total_mub_per_fu": 3.93,
  "e_tot_ev_per_atom": -5.606,
  "spacegroup": "P4/mmm, No. 123",
  "dos_ef_per_ev_cell": 6.3,
  "raw_formation_energy_ev_per_atom": 0.862,
  "cell": [[4.367, 0.000, 0.000], [0.000, 4.718, 0.000], [0.000, 0.000, 4.367]],
  "species": ["Co", "Co", "Te", "Ge", "Tc"],
  "fractional_positions": [[0.000, 0.000, 0.500], [0.500, 0.000, 0.000], [0.500, 0.500, 0.500], [0.000, 0.000, 0.000], [0.000, 0.500, 0.000]]
}